Record 1
Below is a relaxed structure of CaRe2Br, with properties calculated at the PBE-GGA level.

Cell: 2.8450 2.8450 9.2901 Å, 90.00 90.00 90.00°
With the nearest neighbours (Å) after each atom.
Fractional positions:
Ca1 0.5000 0.5000 0.7500  4 Ca 2.85, 8 Re 3.18
Re1 0.0000 0.0000 0.4843  4 Re 2.85, 4 Br 2.96, 4 Ca 3.18
Re2 0.0000 0.0000 0.0157  4 Re 2.85, 4 Br 2.96, 4 Ca 3.18
Br1 0.5000 0.5000 0.2500  4 Br 2.85, 8 Re 2.96

Computed properties:
Electronic total energy ... -5.813 eV per atom
Formation energy without anion corrections ... 1.330 eV per atom
Calculated volume ... 75 Å³/f.u.

=====

Record 2
Below is a relaxed structure of Ta2PAu, with properties calculated at the PBE-GGA level.

Cell: 3.3007 3.3007 6.5206 Å, 90.00 90.00 90.00°
With the nearest neighbours (Å) after each atom.
Fractional positions:
P1 0.5000 0.5000 0.8160  5 Ta 2.52-2.72
Au1 0.0000 0.0000 0.4881  5 Ta 2.87-3.10, 4 P 3.17
Ta1 0.0000 0.0000 0.9632  4 P 2.52
Ta2 0.5000 0.5000 0.2327  1 P 2.72, 4 Au 2.87, 4 Ta 2.92

Computed properties:
Electronic total energy ... -8.216 eV per atom
DFT formation energy ... -0.1174 eV per atom
Calculated volume ... 71 Å³/f.u.

=====

Record 3
Below is a relaxed structure of GaCoSe3, with properties calculated at the PBE-GGA level.

Cell: 4.7772 4.7772 4.7772 Å, 90.00 90.00 90.00°
With the nearest neighbours (Å) after each atom.
Fractional positions:
Se1 0.0000 0.0000 0.5000  2 Co 2.39
Se2 0.5000 0.0000 0.0000  2 Co 2.39
Se3 0.0000 0.5000 0.0000  2 Co 2.39
Co1 0.0000 0.0000 0.0000  6 Se 2.39
Ga1 0.5000 0.5000 0.5000  12 Se 3.38

Computed properties:
Electronic total energy ... -3.884 eV per atom
Formation energy without anion corrections ... 0.233 eV per atom
Calculated volume ... 109 Å³/f.u.

=====

Record 4
Below is a relaxed structure of Rb2TiBeGa, with properties calculated at the PBE-GGA level.

Cell: 6.4420 4.9329 6.4420 Å, 90.00 90.00 90.00°
With the nearest neighbours (Å) after each atom.
Fractional positions:
Rb1 0.5000 0.0000 0.0000  2 Be 3.22
Rb2 0.0000 0.0000 0.5000  2 Be 3.22
Be1 0.0000 0.0000 0.0000  2 Ti 2.47
Ti1 0.0000 0.5000 0.0000  2 Be 2.47
Ga1 0.5000 0.5000 0.5000  8 Rb 4.06

Computed properties:
Electronic total energy ... -2.201 eV per atom
DFT formation energy ... 1.1157 eV per atom
Calculated volume ... 205 Å³/f.u.